A plane-wave DFT calculation with PBE was carried out for a geometry-optimized TlHgSe2 structure.

## Properties
As for the volume: 123.92 Å³/cell. Its crystal system is monoclinic. For the uncorrected energy, the calculation gives -9.86 eV for the cell shown. The raw formation energy comes out at -0.05 eV/atom.

Unit cell a=3.565 b=5.388 c=6.452 alpha=90.00 beta=90.48 gamma=90.00
Space group P2/m (No. 10)
Unique sites:
Tl 0.000 0.000 0.000 x1
Hg 0.500 0.000 0.500 x1
Se 0.496 0.500 0.820 x2